Density functional theory data (GGA-PBE) for crystalline CuC at its relaxed geometry.

Output
As for the space-group type: No. 189. The energy above the most stable polymorph in this dataset comes out at 2.945 eV/f.u. For the raw total energy, the calculation gives -4.97 eV per atom. The calculation puts the formation energy at 1.693 eV per atom. The crystal system is hexagonal.

Unit cell a=5.409 b=5.409 c=2.405 alpha=90.00 beta=90.00 gamma=120.00
Element x y z (fractional)
Cu 0.000 0.000 0.000
Cu 0.333 0.667 0.500
Cu 0.667 0.333 0.500
C 0.000 0.353 0.000
C 0.353 0.000 0.000
C 0.647 0.647 0.000

Density functional theory data (GGA-PBE) for crystalline Th4Tc at its relaxed geometry.

Output
As for the space-group type: No. 87. The energy above the most stable polymorph in this dataset comes out at 0.000 eV/f.u. For the raw total energy, the calculation gives -8.05 eV per atom. The calculation puts the formation energy at -0.042 eV per atom. The crystal system is tetragonal.

Unit cell a=6.484 b=6.484 c=6.484 alpha=94.40 beta=94.40 gamma=147.85
Element x y z (fractional)
Th 0.079 0.274 0.353
Th 0.274 0.921 0.195
Th 0.726 0.079 0.805
Th 0.921 0.726 0.647
Tc 0.500 0.500 0.000

Density functional theory data (GGA-PBE) for crystalline PmThRuAu at its relaxed geometry.

Output
As for the space-group type: No. 216. For the raw total energy, the calculation gives -6.62 eV per atom. The calculation puts the formation energy at -0.443 eV per atom. The crystal system is cubic.

Unit cell a=5.115 b=5.115 c=5.115 alpha=60.00 beta=60.00 gamma=60.00
Element x y z (fractional)
Pm 0.000 0.000 0.000
Th 0.500 0.500 0.500
Ru 0.250 0.250 0.250
Au 0.750 0.750 0.750

Density functional theory data (GGA-PBE) for crystalline BeCu2 at its relaxed geometry.

Output
As for the space-group type: No. 63. For the raw total energy, the calculation gives -4.00 eV per atom. The calculation puts the formation energy at -0.028 eV per atom. The crystal system is orthorhombic.

Unit cell a=5.829 b=5.829 c=3.774 alpha=90.00 beta=90.00 gamma=150.24
Element x y z (fractional)
Be 0.082 0.918 0.750
Be 0.918 0.082 0.250
Cu 0.260 0.740 0.250
Cu 0.423 0.577 0.750
Cu 0.577 0.423 0.250
Cu 0.740 0.260 0.750

Density functional theory data (GGA-PBE) for crystalline MnPb3I2Cl6 at its relaxed geometry.

Output
As for the space-group type: No. 12. For the raw total energy, the calculation gives -3.83 eV per atom. The crystal system is monoclinic.

Unit cell a=8.374 b=8.374 c=6.823 alpha=95.06 beta=95.06 gamma=58.46
Element x y z (fractional)
Mn 0.000 0.000 0.000
Pb 0.000 0.500 0.000
Pb 0.500 0.000 0.000
Pb 0.500 0.500 0.500
I 0.303 0.303 0.667
I 0.697 0.697 0.333
Cl 0.151 0.151 0.199
Cl 0.172 0.699 0.214
Cl 0.301 0.828 0.786
Cl 0.699 0.172 0.214
Cl 0.828 0.301 0.786
Cl 0.849 0.849 0.801

Density functional theory data (GGA-PBE) for crystalline Na2ScZnCl at its relaxed geometry.

Output
As for the space-group type: No. 123. For the raw total energy, the calculation gives -2.34 eV per atom. The crystal system is tetragonal.

Unit cell a=6.551 b=6.551 c=4.863 alpha=90.00 beta=90.00 gamma=90.00
Element x y z (fractional)
Na 0.000 0.500 0.000
Na 0.500 0.000 0.000
Sc 0.000 0.000 0.000
Zn 0.500 0.500 0.500
Cl 0.000 0.000 0.500

> Which value of raw total energy does entry 3 give?

-6.62 eV per atom